Entry from Alexandria: a geometry-optimized MnCd2H4 structure (PBE-GGA).

The structure in POSCAR format:
```
MnCd2H4
1.0
-1.789 1.789 5.381
1.789 -1.789 5.381
1.789 1.789 -5.381
Mn Cd H
1 2 4
direct
0.000 0.000 0.000
0.355 0.355 0.000
0.645 0.645 0.000
0.000 0.500 0.500
0.166 0.166 0.000
0.500 0.000 0.500
0.834 0.834 0.000
```

Calculated values
Symmetry   No. 139
Raw total energy   -3.17 eV per atom